Entry 1:
Computed, not measured: a relaxed structure of PrNd2TmBi4 at the GGA-PBE level of DFT.

Output
Space group   P2/m (10)
N(E_F)   1.17 states/eV/f.u.
E_tot   -5.19 eV per atom

a b c (Å): 4.579 7.923 7.926
angles (deg): 109.50 90.00 90.00
Atoms (fractional coordinates):
1 Pr 0.000 0.000 0.000
2 Nd 0.500 0.000 0.500
3 Nd 0.000 0.500 0.500
4 Tm 0.500 0.500 0.000
5 Bi 0.500 0.255 0.247
6 Bi 0.500 0.745 0.753
7 Bi 0.000 0.259 0.757
8 Bi 0.000 0.741 0.243

=====

Entry 2:
Computed, not measured: a relaxed structure of Sr2YTe at the GGA-PBE level of DFT.

Output
Space group   Cmmm (65)
Energy relative to the elements, uncorrected   -37.17 kJ per mole of atoms
N(E_F)   3.88 states/eV/f.u.

a b c (Å): 6.202 8.186 4.114
angles (deg): 59.86 89.98 119.57
Atoms (fractional coordinates):
1 Sr 0.000 0.000 0.000
2 Sr 0.000 0.500 0.500
3 Te 0.500 0.500 0.000
4 Y 0.500 0.000 0.500